[1]
Material: K2ThCdO4
Method: DFT, PBE
State: relaxed

Cell lengths 3.6363, 6.0759, 6.6822 Å; angles 109.11, 90.00, 90.00 degrees
Closest atoms and distances in Å follow each position.
Sites, in units of the cell vectors:
O  0.5000  0.7584  0.8102  1 Th 2.32, 2 Cd 2.42
O  0.0000  0.2910  0.8000  2 Th 2.36, 1 Cd 2.54
O  0.5000  0.2416  0.1898  1 Th 2.32, 2 Cd 2.42
O  0.0000  0.7090  0.2000  2 Th 2.36, 1 Cd 2.54
Cd  0.0000  0.0000  0.0000  6 O 2.42-2.54
K  0.5000  0.0000  0.5000  6 O 2.85-2.91
K  0.0000  0.5000  0.5000  6 O 2.70-2.82
Th  0.5000  0.5000  0.0000  6 O 2.32-2.36

## Properties
The value obtained for the formation energy (no corrections) is -2.176 eV per atom.

=====

[2]
Material: Ac5HPb2
Method: DFT, PBE
State: relaxed

Cell lengths 5.1967, 6.8425, 8.6216 Å; angles 93.00, 89.90, 67.71 degrees
Closest atoms and distances in Å follow each position.
Sites, in units of the cell vectors:
Pb  0.5620  0.2924  0.6860  1 Pb 3.26, 6 Ac 3.49-3.59
Pb  0.7649  0.8865  0.4357  1 Pb 3.26, 6 Ac 3.47-3.58
Ac  0.0480  0.3207  0.4063  1 H 2.60
Ac  0.3495  0.7174  0.1926  1 H 2.68
Ac  0.2803  0.8554  0.7039  5 Pb 3.49-3.81
Ac  0.9694  0.4776  0.9275  1 H 2.91
Ac  0.6587  0.0990  0.0696  2 H 2.66
H  0.1442  0.1281  0.1324  4 Ac 2.60-2.68

## Properties
The calculation puts the calculated total energy at -33.82 eV/cell.

=====

[3]
Material: YAg2Rh2
Method: DFT, PBE
State: relaxed

Cell lengths 7.5338, 7.5338, 3.2557 Å; angles 90.00, 90.00, 90.00 degrees
Closest atoms and distances in Å follow each position.
Sites, in units of the cell vectors:
Rh  0.1698  0.6698  0.5000  6 Ag 2.70-2.79
Rh  0.8302  0.3302  0.5000  6 Ag 2.70-2.79
Rh  0.3302  0.1698  0.5000  6 Ag 2.70-2.79
Rh  0.6698  0.8302  0.5000  6 Ag 2.70-2.79
Ag  0.3716  0.8716  0.0000  6 Rh 2.70-2.79, 1 Ag 2.74, 2 Y 2.96
Ag  0.1284  0.3716  0.0000  6 Rh 2.70-2.79, 1 Ag 2.74, 2 Y 2.96
Ag  0.6284  0.1284  0.0000  6 Rh 2.70-2.79, 1 Ag 2.74, 2 Y 2.96
Ag  0.8716  0.6284  0.0000  6 Rh 2.70-2.79, 1 Ag 2.74, 2 Y 2.96
Y  0.5000  0.5000  0.0000  4 Ag 2.96, 8 Rh 3.24, 2 Y 3.26
Y  0.0000  0.0000  0.0000  4 Ag 2.96, 8 Rh 3.24, 2 Y 3.26

## Properties
The value obtained for the energy above the most stable polymorph in this dataset is 0.112 eV per atom. For the formation energy, the calculation gives 8.8 meV/atom.

=====

[4]
Material: YCu2
Method: DFT, PBE
State: relaxed

Cell lengths 4.7247, 4.7247, 5.7097 Å; angles 90.00, 90.00, 120.00 degrees
Closest atoms and distances in Å follow each position.
Sites, in units of the cell vectors:
Cu  0.0000  0.0000  0.0000  8 Cu 2.85-3.08, 6 Y 3.08
Cu  0.3333  0.6667  0.2500  5 Y 2.73-2.85
Cu  0.6667  0.3333  0.7500  5 Y 2.73-2.85
Cu  0.0000  0.0000  0.5000  8 Cu 2.85-3.08, 6 Y 3.08
Y  0.6667  0.3333  0.2500  5 Cu 2.73-2.85
Y  0.3333  0.6667  0.7500  5 Cu 2.73-2.85

## Properties
For the formation energy, the calculation gives -103.4 meV/atom.

=====

[5]
Material: TlReSe
Method: DFT, PBE
State: relaxed

Cell lengths 4.4335, 4.4335, 3.5051 Å; angles 90.00, 90.00, 120.00 degrees
Closest atoms and distances in Å follow each position.
Sites, in units of the cell vectors:
Re  0.0000  0.0000  0.1667  3 Se 2.56
Se  0.6667  0.3333  0.1667  3 Re 2.56
Tl  0.3333  0.6667  0.6666  6 Re 3.10, 6 Se 3.10

## Properties
The value obtained for the energy above the most stable polymorph in this dataset is 0.747 eV per atom. The value obtained for the formation energy (no corrections) is 0.829 eV per atom.

=====

[6]
Material: ScGa3Os
Method: DFT, PBE
State: relaxed

Cell lengths 4.8896, 4.8896, 4.8896 Å; angles 90.00, 90.00, 90.00 degrees
Closest atoms and distances in Å follow each position.
Sites, in units of the cell vectors:
Ga  0.5000  0.0000  0.0000  2 Sc 2.44
Ga  0.0000  0.0000  0.5000  2 Sc 2.44
Ga  0.0000  0.5000  0.0000  2 Sc 2.44
Sc  0.0000  0.0000  0.0000  6 Ga 2.44
Os  0.5000  0.5000  0.5000  12 Ga 3.46

## Properties
The value obtained for the energy above the most stable polymorph in this dataset is 2.109 eV per atom. For the formation energy, the calculation gives 1639.5 meV/atom.

=====

[7]
Material: TbGdAgOs
Method: DFT, PBE
State: relaxed

Cell lengths 4.9818, 4.9818, 4.9818 Å; angles 60.00, 60.00, 60.00 degrees
Closest atoms and distances in Å follow each position.
Sites, in units of the cell vectors:
Gd  0.5000  0.5000  0.5000  4 Os 3.05, 4 Ag 3.05
Tb  0.0000  0.0000  0.0000  4 Os 3.05, 4 Ag 3.05
Ag  0.2500  0.2500  0.2500  4 Gd 3.05, 4 Tb 3.05
Os  0.7500  0.7500  0.7500  4 Gd 3.05, 4 Tb 3.05

## Properties
For the formation energy, the calculation gives -232.3 meV/atom.

=====

[8]
Material: K2PrInF8
Method: DFT, PBE
State: relaxed

Cell lengths 3.9481, 6.2733, 7.8071 Å; angles 90.00, 90.00, 92.03 degrees
Closest atoms and distances in Å follow each position.
Sites, in units of the cell vectors:
F  0.9785  0.2034  0.2343  1 In 2.23, 1 Pr 2.44
F  0.0215  0.7966  0.2342  1 In 2.23, 1 Pr 2.44
F  0.5042  0.2177  0.5000  2 Pr 2.37-2.43
F  0.4671  0.1970  0.0000  1 In 2.18
F  0.5329  0.8030  0.0000  1 In 2.18
F  0.4958  0.7823  0.5000  2 Pr 2.37-2.43
F  0.0215  0.7966  0.7657  1 In 2.23, 1 Pr 2.44
F  0.9785  0.2034  0.7658  1 In 2.23, 1 Pr 2.44
K  0.5000  0.5000  0.2366  8 F 2.65-2.73
K  0.5000  0.5000  0.7634  8 F 2.65-2.73
Pr  0.0000  0.0000  0.5000  8 F 2.37-2.44
In  0.0000  0.0000  0.0000  6 F 2.18-2.23

## Properties
The value obtained for the formation energy (no corrections) is -3.131 eV per atom.

=====

[9]
Material: Pm2TiNi4As3
Method: DFT, PBE
State: relaxed

Cell lengths 4.0528, 4.0528, 10.1221 Å; angles 90.00, 90.00, 90.00 degrees
Closest atoms and distances in Å follow each position.
Sites, in units of the cell vectors:
Ni  0.0000  0.5000  0.3658  3 As 2.38-2.44, 2 Ti 2.44
Ni  0.5000  0.5000  0.0000  4 As 2.42
Ni  0.5000  0.0000  0.6342  3 As 2.38-2.44, 2 Ti 2.44
Ni  0.0000  0.0000  0.0000  4 As 2.42
Pm  0.0000  0.5000  0.7644  6 As 3.05-3.36, 8 Ni 3.13-3.15, 2 Ti 3.36
Pm  0.5000  0.0000  0.2356  6 As 3.05-3.36, 8 Ni 3.13-3.15, 2 Ti 3.36
Ti  0.5000  0.5000  0.5000  4 Ni 2.44
As  0.0000  0.5000  0.1311  5 Ni 2.38-2.42
As  0.5000  0.0000  0.8689  5 Ni 2.38-2.42
As  0.0000  0.0000  0.5000  4 Ni 2.44

## Properties
For the formation energy, the calculation gives -788.4 meV/atom.

=====

[10]
Material: ReMo
Method: DFT, PBE
State: relaxed

Cell lengths 9.4794, 2.7752, 2.7752 Å; angles 120.00, 98.42, 81.58 degrees
Closest atoms and distances in Å follow each position.
Sites, in units of the cell vectors:
Re  0.4927  0.5024  0.4976  9 Re 2.72-2.78, 3 Mo 2.85
Re  0.2573  0.2476  0.7524  9 Re 2.72-2.78, 3 Mo 2.85
Mo  0.0057  0.9981  0.0019  9 Mo 2.78-2.92, 3 Re 2.85
Mo  0.7443  0.7519  0.2481  9 Mo 2.78-2.92, 3 Re 2.85

## Properties
The value obtained for the energy above the most stable polymorph in this dataset is 0.115 eV per atom. For the formation energy, the calculation gives 207.6 meV/atom.

=====

[11]
Material: Dy2HoPa2Co5
Method: DFT, PBE
State: relaxed

Cell lengths 3.4524, 10.4868, 10.4868 Å; angles 90.00, 90.00, 90.00 degrees
Closest atoms and distances in Å follow each position.
Sites, in units of the cell vectors:
Dy  0.0000  0.3291  0.8291  1 Pa 2.87, 6 Co 3.01-3.07
Dy  0.0000  0.6709  0.1709  1 Pa 2.87, 6 Co 3.01-3.07
Dy  0.0000  0.1709  0.3291  1 Pa 2.87, 6 Co 3.01-3.07
Dy  0.0000  0.8291  0.6709  1 Pa 2.87, 6 Co 3.01-3.07
Co  0.5000  0.7234  0.4603  2 Pa 2.49
Co  0.5000  0.0397  0.7766  2 Pa 2.49
Co  0.5000  0.7766  0.9603  2 Pa 2.49
Co  0.5000  0.0000  0.5000  4 Pa 2.65, 4 Co 2.93
Co  0.5000  0.5397  0.7234  2 Pa 2.49
Co  0.5000  0.4603  0.2766  2 Pa 2.49
Co  0.5000  0.2234  0.0397  2 Pa 2.49
Co  0.5000  0.5000  0.0000  4 Pa 2.65, 4 Co 2.93
Co  0.5000  0.2766  0.5397  2 Pa 2.49
Co  0.5000  0.9603  0.2234  2 Pa 2.49
Pa  0.0000  0.8642  0.3642  6 Co 2.49-2.65
Pa  0.0000  0.1358  0.6358  6 Co 2.49-2.65
Pa  0.0000  0.3642  0.1358  6 Co 2.49-2.65
Pa  0.0000  0.6358  0.8642  6 Co 2.49-2.65
Ho  0.0000  0.5000  0.5000  8 Co 2.94
Ho  0.0000  0.0000  0.0000  8 Co 2.94

## Properties
For the formation energy, the calculation gives -146.4 meV/atom.

=====

[12]
Material: MgFePt2
Method: DFT, PBE
State: relaxed

Cell lengths 2.7832, 4.0697, 5.3818 Å; angles 90.00, 90.00, 90.00 degrees
Closest atoms and distances in Å follow each position.
Sites, in units of the cell vectors:
Pt  0.5000  0.5000  0.2845  2 Mg 2.62-2.76, 4 Fe 2.66, 2 Pt 2.78
Pt  0.0000  0.0000  0.9723  2 Fe 2.69, 4 Mg 2.69, 6 Pt 2.78-2.98
Fe  0.0000  0.0000  0.4720  6 Pt 2.66-2.69, 2 Fe 2.78, 4 Mg 2.94
Mg  0.5000  0.5000  0.7712  6 Pt 2.62-2.76, 2 Mg 2.78

## Properties
For the formation energy, the calculation gives -376.2 meV/atom.